Density functional theory data (PBE) for an optimized crystal structure of Ta2CoSe.

Cell: 3.398 3.608 5.360 Å, 90.00 108.45 90.00°
Fractional positions:
Ta: 0.000 0.000 0.000
Ta: 0.336 0.500 0.674
Co: 0.595 0.500 0.189
Se: 0.731 0.000 0.463

Properties
ΔE_f (raw), eV/atom: -0.145
Space-group type: Pm, No. 6

Density functional theory data (PBE) for an optimized crystal structure of CsRbNaP.

Cell: 8.116 8.116 8.116 Å, 90.00 90.00 90.00°
Fractional positions:
Cs: 0.000 0.000 0.000
Cs: 0.000 0.500 0.500
Cs: 0.500 0.000 0.500
Cs: 0.500 0.500 0.000
Rb: 0.250 0.250 0.750
Rb: 0.250 0.750 0.250
Rb: 0.750 0.250 0.250
Rb: 0.750 0.750 0.750
Na: 0.250 0.250 0.250
Na: 0.250 0.750 0.750
Na: 0.750 0.250 0.750
Na: 0.750 0.750 0.250
P: 0.000 0.000 0.500
P: 0.000 0.500 0.000
P: 0.500 0.000 0.000
P: 0.500 0.500 0.500

Properties
Space-group type: F-43m, No. 216
DFT formation energy, eV/atom: -0.10